# 1
## YLuTlCu (PBE-GGA)

Data for YLuTlCu after structural relaxation.

Cell: 7.252 7.252 7.252 Å, 90.00 90.00 90.00°
Space group F-43m (No. 216)
Symmetry-distinct sites (fractional):
Y  0.000  0.000  0.000 x4
Lu  0.000  0.000  0.500 x4
Tl  0.250  0.250  0.750 x4
Cu  0.250  0.250  0.250 x4

Properties
Calculated volume ... 381.42 Å³ per cell
E_form ... -0.26 eV per atom
Magnetic moment ... 0.0 μB per formula unit
Final energy ... -4.62 eV/atom

---

# 2
## CeHoCd14 (PBE-GGA)

Data for CeHoCd14 after structural relaxation.

Cell: 6.655 6.655 8.438 Å, 90.00 90.00 90.00°
Space group P4/mmm (No. 123)
Symmetry-distinct sites (fractional):
Ce  0.000  0.000  0.000 x1
Ho  0.500  0.500  0.000 x1
Cd  0.000  0.000  0.500 x1
Cd  0.000  0.500  0.000 x2
Cd  0.000  0.500  0.500 x2
Cd  0.253  0.253  0.260 x8
Cd  0.500  0.500  0.500 x1

Properties
Calculated volume ... 373.70 Å³ per cell
E_form ... -0.11 eV per atom
Magnetic moment ... 1.1 μB per formula unit
Final energy ... -1.57 eV/atom

---

# 3
## CdPt2W (PBE-GGA)

Data for CdPt2W after structural relaxation.

Cell: 2.8581 2.8581 28.2442 Å, 90.00 90.00 120.00°
Space group R-3m (No. 166, hexagonal axes)
Symmetry-distinct sites (fractional):
Cd  0.0000  0.0000  0.0000 x3
Pt  0.0000  0.0000  0.2452 x6
W  0.0000  0.0000  0.5000 x3

Properties
Calculated volume ... 199.81 Å³ per cell
E_form ... -0.13 eV per atom
Magnetic moment ... 0.0 μB per formula unit
Final energy ... -6.61 eV/atom

---

# 4
## MgTaHg2 (PBE-GGA)

Data for MgTaHg2 after structural relaxation.

Cell: 3.118 3.118 8.079 Å, 90.00 90.00 90.00°
Space group P4/mmm (No. 123)
Symmetry-distinct sites (fractional):
Mg  0.000  0.000  0.000 x1
Ta  0.000  0.000  0.500 x1
Hg  0.500  0.500  0.247 x2

Properties
Calculated volume ... 78.56 Å³ per cell
E_form ... 0.18 eV per atom
Magnetic moment ... 0.0 μB per formula unit
Final energy ... -3.34 eV/atom

---

Question: What is the E_form in the first record?
Answer: -0.26 eV per atom